[1]
DFT (SCAN) results for a PBEsol-optimized structure of AlMo2W.

## Properties
* spin magnetization: 0.0 μB/f.u.
* calculated formation energy: -95 meV per atom
* total DFT energy (no corrections): -36.898 eV/atom

Cell: 3.1483 4.3840 8.7884 Å, 90.00 90.00 90.00°
Last column: nearest neighbours and their distance in Å.
Space group Imm2 (No. 44)
One atom of each set of equivalent atoms:
Al 0.0000 0.0000 0.0000 [2 per cell]  6 Mo 2.70-2.77, 2 W 2.78
Mo 0.0000 0.0000 0.5015 [2 per cell]  2 Mo 2.63, 2 W 2.63, 4 Al 2.70
Mo 0.0000 0.5000 0.2407 [2 per cell]  2 Mo 2.63, 4 W 2.70, 2 Al 2.77
W 0.0000 0.5000 0.7611 [2 per cell]  6 Mo 2.63-2.70, 2 Al 2.78


[2]
DFT (SCAN) results for a PBEsol-optimized structure of ReTeOF2.

## Properties
* spin magnetization: 5.7 μB/f.u.
* formation energy without anion corrections: 0.295 eV/atom
* total DFT energy (no corrections): -24.037 eV/atom

Cell: 4.6446 4.6446 4.0887 Å, 90.00 90.00 90.00°
Last column: nearest neighbours and their distance in Å.
Space group P4/mmm (No. 123)
One atom of each set of equivalent atoms:
Re 0.0000 0.0000 0.0000 [1 per cell]  8 F 3.09, 4 O 3.28
Te 0.5000 0.5000 0.5000 [1 per cell]  2 O 2.04
O 0.5000 0.5000 0.0000 [1 per cell]  2 Te 2.04
F 0.0000 0.5000 0.5000 [2 per cell]  2 Te 2.32


[3]
DFT (SCAN) results for a PBEsol-optimized structure of NaInSb3.

## Properties
* spin magnetization: 0.0 μB/f.u.
* formation energy without anion corrections: 0.479 eV/atom
* total DFT energy (no corrections): -29.398 eV/atom

Cell: 5.6091 5.6091 5.6091 Å, 90.00 90.00 90.00°
Last column: nearest neighbours and their distance in Å.
Space group Pm-3m (No. 221)
One atom of each set of equivalent atoms:
Na 0.0000 0.0000 0.0000 [1 per cell]  12 Sb 3.97
In 0.5000 0.5000 0.5000 [1 per cell]  6 Sb 2.80
Sb 0.0000 0.5000 0.5000 [3 per cell]  2 In 2.80


[4]
DFT (SCAN) results for a PBEsol-optimized structure of LiPbSe2.

## Properties
* spin magnetization: 0.0 μB/f.u.
* formation energy without anion corrections: -0.690 eV/atom
* total DFT energy (no corrections): -30.272 eV/atom

Cell: 4.0281 4.0281 19.2168 Å, 90.00 90.00 120.00°
Last column: nearest neighbours and their distance in Å.
Space group R-3m (No. 166, hexagonal axes)
One atom of each set of equivalent atoms:
Li 0.0000 0.0000 0.0000 [3 per cell]  6 Se 2.72
Pb 0.0000 0.0000 0.5000 [3 per cell]  6 Se 2.94
Se 0.0000 0.0000 0.2600 [6 per cell]  3 Li 2.72, 3 Pb 2.94


[5]
DFT (SCAN) results for a PBEsol-optimized structure of V3CoSb2P6O24.

## Properties
* spin magnetization: 8.4 μB/f.u.
* formation energy without anion corrections: -2.256 eV/atom
* total DFT energy (no corrections): -12.152 eV/atom

Cell: 8.5644 8.5644 21.6015 Å, 90.00 90.00 120.00°
Last column: nearest neighbours and their distance in Å.
Space group R3 (No. 146, hexagonal axes)
One atom of each set of equivalent atoms:
V 0.0000 0.0000 0.0000 [3 per cell]  6 O 1.93-1.99
V 0.0000 0.0000 0.2092 [3 per cell]  6 O 1.87-2.00
V 0.0000 0.0000 0.5031 [3 per cell]  6 O 1.92-2.04
Co 0.0000 0.0000 0.7060 [3 per cell]  6 O 1.93-2.15
Sb 0.0000 0.0000 0.3521 [3 per cell]  6 O 2.28-2.41
Sb 0.0000 0.0000 0.8454 [3 per cell]  3 O 2.14
P 0.9995 0.2896 0.6078 [9 per cell]  4 O 1.51-1.59
P 0.0032 0.7148 0.1064 [9 per cell]  4 O 1.52-1.57
O 0.0031 0.8125 0.1654 [9 per cell]  1 P 1.53
O 0.0060 0.1954 0.5483 [9 per cell]  1 P 1.53
O 0.0084 0.1763 0.2718 [9 per cell]  1 P 1.59
O 0.0112 0.8142 0.0470 [9 per cell]  1 P 1.52
O 0.0313 0.8392 0.7759 [9 per cell]  1 P 1.57
O 0.1443 0.4509 0.3344 [9 per cell]  1 P 1.51
O 0.1678 0.6841 0.1059 [9 per cell]  1 P 1.56
O 0.1715 0.4791 0.6067 [9 per cell]  1 P 1.55


[6]
DFT (SCAN) results for a PBEsol-optimized structure of CaCu3S.

## Properties
* spin magnetization: 0.0 μB/f.u.
* formation energy without anion corrections: 1.642 eV/atom
* total DFT energy (no corrections): -11.336 eV/atom

Cell: 4.8063 4.8063 4.8063 Å, 90.00 90.00 90.00°
Last column: nearest neighbours and their distance in Å.
Space group Pm-3m (No. 221)
One atom of each set of equivalent atoms:
Ca 0.0000 0.0000 0.0000 [1 per cell]  6 Cu 2.40
Cu 0.0000 0.0000 0.5000 [3 per cell]  2 Ca 2.40
S 0.5000 0.5000 0.5000 [1 per cell]  12 Cu 3.40